Entry 1:
# Zr4Ni3Ir

An optimized crystal structure of Zr4Ni3Ir (PBE-GGA, the Alexandria database).

Summary:
- E_tot: -8.1064 eV/atom
- Crystal system: orthorhombic

Unit cell a=3.3714 b=4.1370 c=10.0237 alpha=90.00 beta=90.00 gamma=90.00
Space group Pmm2 (No. 25)
Unique sites:
Zr  0.0000  0.0000  0.0000 [1 per cell]
Zr  0.0000  0.5000  0.2758 [1 per cell]
Zr  0.5000  0.0000  0.4930 [1 per cell]
Zr  0.5000  0.5000  0.7799 [1 per cell]
Ni  0.0000  0.5000  0.5434 [1 per cell]
Ni  0.5000  0.0000  0.2188 [1 per cell]
Ni  0.5000  0.5000  0.0578 [1 per cell]
Ir  0.0000  0.0000  0.7230 [1 per cell]

Entry 2:
# ZrNiIr3

An optimized crystal structure of ZrNiIr3 (PBE-GGA, the Alexandria database).

Summary:
- Offset from the most stable computed form: 1199 meV/atom
- Crystal system: cubic

Unit cell a=4.8323 b=4.8323 c=4.8323 alpha=90.00 beta=90.00 gamma=90.00
Space group Pm-3m (No. 221)
Unique sites:
Zr  0.0000  0.0000  0.0000 [1 per cell]
Ni  0.5000  0.5000  0.5000 [1 per cell]
Ir  0.0000  0.0000  0.5000 [3 per cell]

Entry 3:
# ZrNiIr2

An optimized crystal structure of ZrNiIr2 (PBE-GGA, the Alexandria database).

Summary:
- E_tot: -8.3289 eV/atom
- Crystal system: monoclinic

Unit cell a=2.8049 b=4.3330 c=5.2520 alpha=90.00 beta=104.85 gamma=90.00
Space group P2/m (No. 10)
Unique sites:
Zr  0.0000  0.0000  0.0000 [1 per cell]
Ni  0.5000  0.0000  0.5000 [1 per cell]
Ir  0.3599  0.5000  0.7233 [2 per cell]

Entry 4:
# ZrNiIr2

An optimized crystal structure of ZrNiIr2 (PBE-GGA, the Alexandria database).

Summary:
- E_tot: -8.3072 eV/atom
- Crystal system: monoclinic

Unit cell a=9.1599 b=2.9389 c=4.6941 alpha=90.00 beta=101.92 gamma=90.00
Space group Cm (No. 8)
Unique sites:
Zr  0.0000  0.0000  0.0000 [2 per cell]
Ni  0.2522  0.5000  0.2458 [2 per cell]
Ir  0.2408  0.0000  0.7050 [2 per cell]
Ir  0.4953  0.0000  0.4937 [2 per cell]

Entry 5:
# Zr6Ni5Ir

An optimized crystal structure of Zr6Ni5Ir (PBE-GGA, the Alexandria database).

Summary:
- E_tot: -7.8618 eV/atom
- Crystal system: triclinic

Unit cell a=4.6969 b=6.4681 c=7.0833 alpha=89.73 beta=71.37 gamma=89.88
Space group P-1 (No. 2)
Unique sites:
Zr  0.0006  0.2482  0.0123 [2 per cell]
Zr  0.2937  0.7491  0.3448 [2 per cell]
Zr  0.3333  0.2464  0.3366 [2 per cell]
Ni  0.2202  0.0274  0.6819 [2 per cell]
Ni  0.2275  0.4727  0.6705 [2 per cell]
Ni  0.5000  0.0000  0.0000 [1 per cell]
Ir  0.5000  0.5000  0.0000 [1 per cell]

Entry 6:
# ZrNiIr2

An optimized crystal structure of ZrNiIr2 (PBE-GGA, the Alexandria database).

Summary:
- E_tot: -8.2442 eV/atom
- Crystal system: tetragonal

Unit cell a=3.3468 b=3.3468 c=5.5950 alpha=90.00 beta=90.00 gamma=90.00
Space group P4mm (No. 99)
Unique sites:
Zr  0.0000  0.0000  0.0000 [1 per cell]
Ni  0.5000  0.5000  0.7226 [1 per cell]
Ir  0.0000  0.0000  0.5304 [1 per cell]
Ir  0.5000  0.5000  0.2616 [1 per cell]

Entry 7:
# Zr2NiIr4

An optimized crystal structure of Zr2NiIr4 (PBE-GGA, the Alexandria database).

Summary:
- E_tot: -8.5903 eV/atom
- Crystal system: tetragonal

Unit cell a=3.7969 b=3.7969 c=17.0484 alpha=90.00 beta=90.00 gamma=90.00
Space group I4/mmm (No. 139)
Unique sites:
Zr  0.0000  0.0000  0.1015 [4 per cell]
Ni  0.0000  0.0000  0.5000 [2 per cell]
Ir  0.0000  0.0000  0.3605 [4 per cell]
Ir  0.0000  0.5000  0.2500 [4 per cell]

Entry 8:
# ZrNiIr2

An optimized crystal structure of ZrNiIr2 (PBE-GGA, the Alexandria database).

Summary:
- E_tot: -8.3673 eV/atom
- Crystal system: monoclinic

Unit cell a=9.0419 b=2.9174 c=4.7639 alpha=90.00 beta=101.82 gamma=90.00
Space group C2/m (No. 12)
Unique sites:
Zr  0.0000  0.0000  0.0000 [2 per cell]
Ni  0.0000  0.5000  0.5000 [2 per cell]
Ir  0.2453  0.0000  0.7293 [4 per cell]